1.
The following is a PBE calculation of an optimized crystal structure of ScTc2Mo, from the Alexandria database.

CIF file:
```
data_ScTc2Mo
_symmetry_space_group_name_H-M 'C m m m'
_symmetry_Int_Tables_number 65
_symmetry_space_group_name_Hall '-C 2 2'
_cell_length_a 3.151
_cell_length_b 4.621
_cell_length_c 8.825
_cell_angle_alpha 90.00
_cell_angle_beta 90.00
_cell_angle_gamma 90.00
loop_
_atom_site_label
_atom_site_type_symbol
_atom_site_fract_x
_atom_site_fract_y
_atom_site_fract_z
Sc1 Sc 0.000 0.000 0.000
Tc1 Tc 0.000 0.500 0.260
Mo1 Mo 0.000 0.000 0.500
```

Calculated values
Energy of formation from the pure elements, meV/atom: 27.5

2.
The following is a PBE calculation of an optimized crystal structure of ScTcMo, from the Alexandria database.

CIF file:
```
data_ScTcMo
_symmetry_space_group_name_H-M 'I 4 m m'
_symmetry_Int_Tables_number 107
_symmetry_space_group_name_Hall 'I 4 -2'
_cell_length_a 3.153
_cell_length_b 3.153
_cell_length_c 10.177
_cell_angle_alpha 90.00
_cell_angle_beta 90.00
_cell_angle_gamma 90.00
loop_
_atom_site_label
_atom_site_type_symbol
_atom_site_fract_x
_atom_site_fract_y
_atom_site_fract_z
Sc1 Sc 0.000 0.000 0.000
Tc1 Tc 0.000 0.000 0.323
Mo1 Mo 0.000 0.000 0.685
```

Calculated values
Energy of formation from the pure elements, meV/atom: -175.1

3.
The following is a PBE calculation of an optimized crystal structure of ScTc2Mo, from the Alexandria database.

CIF file:
```
data_ScTc2Mo
_symmetry_space_group_name_H-M 'F m -3 m'
_symmetry_Int_Tables_number 225
_symmetry_space_group_name_Hall '-F 4 2 3'
_cell_length_a 6.325
_cell_length_b 6.325
_cell_length_c 6.325
_cell_angle_alpha 90.00
_cell_angle_beta 90.00
_cell_angle_gamma 90.00
loop_
_atom_site_label
_atom_site_type_symbol
_atom_site_fract_x
_atom_site_fract_y
_atom_site_fract_z
Sc1 Sc 0.000 0.000 0.000
Tc1 Tc 0.250 0.250 0.250
Mo1 Mo 0.000 0.000 0.500
```

Calculated values
Energy of formation from the pure elements, meV/atom: -177.7

In eV for the cell shown, the calculated total energy values for the records above are, in order, -75.6 -56.1 -154.4.
In μB per cell, the size of the total moment values for the records above are, in order, 0.0 0.0 0.0.
In eV/atom, the excess energy over the best structure of this formula in the dataset values for the records above are, in order, 0.2052 0.0019 0.0000.